Entry 1:
# LiTiNbPb2

A relaxed LiTiNbPb2 crystal (PBE, the Alexandria database).

abc: 5.582 4.743 5.582
angles: 90.00 90.00 90.00
Positions (direct):
Li1 0.500 0.500 0.500
Pb1 0.500 0.000 0.000
Ti1 0.000 0.500 0.000
Nb1 0.000 0.000 0.000
Pb2 0.000 0.000 0.500

Values from the calculation:
D(E_F)	4.74	states/eV per cell
total magnetization	0.00	μB per cell
formation enthalpy at 0 K	0.546	eV/atom
DFT total energy	-4.913	eV/atom

***

Entry 2:
# Li2NbPd

A relaxed Li2NbPd crystal (PBE, the Alexandria database).

abc: 4.315 4.315 4.315
angles: 60.00 60.00 60.00
Positions (direct):
Nb1 0.000 0.000 0.000
Li1 0.750 0.750 0.750
Li2 0.250 0.250 0.250
Pd1 0.500 0.500 0.500

Values from the calculation:
D(E_F)	4.96	states/eV per cell
total magnetization	0.00	μB per cell
formation enthalpy at 0 K	0.298	eV/atom
DFT total energy	-4.475	eV/atom
ΔE to the lowest computed polymorph	262	meV per atom

***

Entry 3:
# LiNbPd3

A relaxed LiNbPd3 crystal (PBE, the Alexandria database).

abc: 5.079 5.185 7.451
angles: 114.58 82.60 120.01
Positions (direct):
Li1 0.251 0.495 0.993
Pd1 0.357 0.099 0.667
Pd2 0.000 0.000 0.000
Pd3 0.500 0.000 0.000
Nb1 0.289 0.203 0.353
Nb2 0.711 0.797 0.647
Pd4 0.961 0.536 0.328
Pd5 0.039 0.464 0.672
Li2 0.749 0.505 0.007
Pd6 0.643 0.901 0.333

Values from the calculation:
D(E_F)	7.06	states/eV per cell
total magnetization	0.00	μB per cell
formation enthalpy at 0 K	-0.232	eV/atom
DFT total energy	-5.745	eV/atom
ΔE to the lowest computed polymorph	28	meV per atom

***

Entry 4:
# Li3NbPd12

A relaxed Li3NbPd12 crystal (PBE, the Alexandria database).

abc: 3.934 3.934 15.515
angles: 90.00 90.00 90.00
Positions (direct):
Pd1 0.000 0.500 0.126
Pd2 0.500 0.000 0.377
Pd3 0.500 0.500 0.747
Pd4 0.500 0.000 0.623
Pd5 0.000 0.500 0.377
Li1 0.000 0.000 0.744
Pd6 0.500 0.500 0.000
Pd7 0.500 0.500 0.253
Li2 0.000 0.000 0.256
Pd8 0.000 0.500 0.623
Li3 0.000 0.000 0.500
Pd9 0.000 0.500 0.874
Pd10 0.500 0.000 0.874
Pd11 0.500 0.000 0.126
Nb1 0.000 0.000 0.000
Pd12 0.500 0.500 0.500

Values from the calculation:
D(E_F)	17.91	states/eV per cell
total magnetization	0.00	μB per cell
formation enthalpy at 0 K	-0.312	eV/atom
DFT total energy	-5.195	eV/atom

***

Entry 5:
# Li3NbPd6

A relaxed Li3NbPd6 crystal (PBE, the Alexandria database).

abc: 4.125 7.943 9.041
angles: 99.10 90.00 90.00
Positions (direct):
Pd1 0.250 0.160 0.215
Pd2 0.750 0.158 0.705
Pd3 0.750 0.536 0.895
Pd4 0.750 0.942 0.092
Li1 0.750 0.253 0.023
Li2 0.750 0.450 0.604
Pd5 0.750 0.744 0.482
Li3 0.250 0.348 0.819
Pd6 0.750 0.840 0.785
Pd7 0.250 0.464 0.105
Pd8 0.250 0.256 0.518
Pd9 0.750 0.381 0.316
Li4 0.250 0.747 0.977
Pd10 0.250 0.058 0.908
Pd11 0.250 0.619 0.684
Li5 0.250 0.550 0.396
Nb1 0.750 0.063 0.380
Nb2 0.250 0.937 0.620
Pd12 0.250 0.842 0.295
Li6 0.750 0.652 0.181

Values from the calculation:
D(E_F)	8.79	states/eV per cell
total magnetization	0.00	μB per cell
formation enthalpy at 0 K	-0.393	eV/atom
DFT total energy	-5.089	eV/atom

***

Entry 6:
# LiNb2Pd

A relaxed LiNb2Pd crystal (PBE, the Alexandria database).

abc: 4.532 4.532 4.532
angles: 60.00 60.00 60.00
Positions (direct):
Nb1 0.750 0.750 0.750
Li1 0.000 0.000 0.000
Nb2 0.250 0.250 0.250
Pd1 0.500 0.500 0.500

Values from the calculation:
D(E_F)	7.15	states/eV per cell
total magnetization	0.00	μB per cell
formation enthalpy at 0 K	0.281	eV/atom
DFT total energy	-6.530	eV/atom
ΔE to the lowest computed polymorph	0	meV per atom

***

Entry 7:
# Li2NbPd4

A relaxed Li2NbPd4 crystal (PBE, the Alexandria database).

abc: 5.434 6.467 6.779
angles: 112.46 97.25 103.80
Positions (direct):
Nb1 0.007 0.986 0.016
Li1 0.849 0.415 0.171
Nb2 0.387 0.712 0.622
Li2 0.703 0.844 0.325
Pd1 0.367 0.428 0.200
Pd2 0.513 0.995 0.057
Pd3 0.040 0.262 0.450
Pd4 0.188 0.835 0.306
Pd5 0.259 0.117 0.750
Pd6 0.635 0.566 0.898
Pd7 0.877 0.672 0.586
Li3 0.535 0.261 0.474
Li4 0.131 0.534 0.899
Pd8 0.760 0.123 0.745

Values from the calculation:
D(E_F)	5.38	states/eV per cell
total magnetization	0.00	μB per cell
formation enthalpy at 0 K	-0.386	eV/atom
DFT total energy	-5.338	eV/atom

***

Entry 8:
# LiNbPd2

A relaxed LiNbPd2 crystal (PBE, the Alexandria database).

abc: 2.816 4.749 4.749
angles: 90.00 90.00 90.00
Positions (direct):
Li1 0.500 0.000 0.000
Pd1 0.000 0.500 0.000
Nb1 0.500 0.500 0.500
Pd2 0.000 0.000 0.500

Values from the calculation:
D(E_F)	3.35	states/eV per cell
total magnetization	0.00	μB per cell
formation enthalpy at 0 K	-0.271	eV/atom
DFT total energy	-5.863	eV/atom

***

Entry 9:
# Li2NbPd5

A relaxed Li2NbPd5 crystal (PBE, the Alexandria database).

abc: 6.615 6.615 7.151
angles: 117.55 117.55 90.00
Positions (direct):
Pd1 0.694 0.194 0.689
Pd2 0.306 0.806 0.311
Pd3 0.806 0.005 0.311
Li1 0.645 0.145 0.000
Li2 0.855 0.645 0.000
Pd4 0.000 0.000 0.000
Pd5 0.005 0.505 0.311
Pd6 0.500 0.500 0.000
Nb1 0.750 0.750 0.500
Pd7 0.995 0.495 0.689
Li3 0.145 0.355 0.000
Pd8 0.194 0.995 0.689
Nb2 0.250 0.250 0.500
Pd9 0.505 0.306 0.311
Li4 0.355 0.855 0.000
Pd10 0.495 0.694 0.689

Values from the calculation:
D(E_F)	6.46	states/eV per cell
total magnetization	0.00	μB per cell
formation enthalpy at 0 K	-0.330	eV/atom
DFT total energy	-5.312	eV/atom
ΔE to the lowest computed polymorph	10	meV per atom

***

Entry 10:
# Li3Nb2Pd8

A relaxed Li3Nb2Pd8 crystal (PBE, the Alexandria database).

abc: 4.601 8.788 6.885
angles: 129.65 78.52 90.00
Positions (direct):
Pd1 0.580 0.631 0.724
Pd2 0.918 0.153 0.306
Pd3 0.213 0.568 0.136
Pd4 0.082 0.847 0.694
Pd5 0.420 0.369 0.276
Li1 0.000 0.761 0.000
Pd6 0.787 0.432 0.864
Li2 0.500 0.000 0.000
Nb1 0.664 0.699 0.397
Nb2 0.336 0.301 0.603
Pd7 0.580 0.093 0.724
Pd8 0.420 0.907 0.276
Li3 0.000 0.239 0.000

Values from the calculation:
D(E_F)	8.77	states/eV per cell
total magnetization	0.00	μB per cell
formation enthalpy at 0 K	-0.222	eV/atom
DFT total energy	-5.409	eV/atom

***

Entry 11:
# Li2NbPd5

A relaxed Li2NbPd5 crystal (PBE, the Alexandria database).

abc: 4.458 5.422 10.040
angles: 90.00 90.00 90.00
Positions (direct):
Pd1 0.000 0.817 0.737
Pd2 0.000 0.183 0.263
Pd3 0.000 0.000 0.000
Nb1 0.000 0.500 0.000
Pd4 0.500 0.140 0.622
Pd5 0.000 0.317 0.763
Pd6 0.000 0.683 0.237
Pd7 0.000 0.500 0.500
Pd8 0.500 0.360 0.122
Pd9 0.500 0.860 0.378
Li1 0.500 0.866 0.121
Pd10 0.500 0.640 0.878
Nb2 0.000 0.000 0.500
Li2 0.500 0.366 0.379
Li3 0.500 0.634 0.621
Li4 0.500 0.134 0.879

Values from the calculation:
D(E_F)	8.63	states/eV per cell
total magnetization	0.00	μB per cell
formation enthalpy at 0 K	-0.339	eV/atom
DFT total energy	-5.322	eV/atom
ΔE to the lowest computed polymorph	0	meV per atom

***

Entry 12:
# Li2NbPd3

A relaxed Li2NbPd3 crystal (PBE, the Alexandria database).

abc: 2.926 2.926 10.084
angles: 90.00 90.00 90.00
Positions (direct):
Pd1 0.000 0.000 0.000
Pd2 0.000 0.000 0.310
Li1 0.500 0.500 0.850
Nb1 0.500 0.500 0.500
Li2 0.500 0.500 0.150
Pd3 0.000 0.000 0.690

Values from the calculation:
D(E_F)	3.21	states/eV per cell
total magnetization	0.00	μB per cell
formation enthalpy at 0 K	-0.400	eV/atom
DFT total energy	-5.312	eV/atom